Entry from Alexandria via LeMat-Bulk: crystalline CaSiP2O at its relaxed geometry (PBE-GGA).

Lattice parameters (Å, degrees): 5.070 5.070 3.287 90.00 90.00 90.00
Fractional coordinates of all 5 atoms:
P: 0.000 0.500 0.000
P: 0.500 0.000 0.000
Si: 0.000 0.000 0.000
Ca: 0.500 0.500 0.500
O: 0.000 0.000 0.500

formation energy from raw total energies = -0.6713 eV/atom
SG = No. 123
polymorph energy (0 for the lowest one) = 0 meV per atom